Material: NbMoSe2
Method: DFT, GGA-PBE
State: relaxed

For the formation energy (no corrections), the calculation gives -0.1232 eV/atom. For the total magnetic moment, the calculation gives 0.000 μB per formula unit. For the density of states at the Fermi level, the calculation gives 4.27 states/eV/f.u. The uncorrected energy comes out at -0.26058 hartree per atom.

Cell lengths 4.520, 4.520, 4.520 Å; angles 60.00, 60.00, 60.00 degrees
Sites, in units of the cell vectors:
1 Mo 0.500 0.500 0.500
2 Nb 0.000 0.000 0.000
3 Se 0.250 0.250 0.250
4 Se 0.750 0.750 0.750